# 1
## Y2Mg2Cu3 (PBE)

Data for Y2Mg2Cu3 after structural relaxation.

a = 13.679 Å, b = 13.679 Å, c = 3.170 Å
α = 90.00°, β = 90.00°, γ = 166.20°
Positions (direct):
Y 0.307 0.693 0.500
Mg 0.899 0.101 0.000
Cu 0.000 0.000 0.000
Y 0.693 0.307 0.500
Cu 0.545 0.455 0.500
Mg 0.101 0.899 0.000
Cu 0.455 0.545 0.500

Computed properties:
As for the space group: Cmmm (65). For the formation energy from the elements, the calculation gives 0.46 eV per formula unit.



# 2
## GdMgCuSn (PBE)

Data for GdMgCuSn after structural relaxation.

a = 5.001 Å, b = 5.001 Å, c = 5.001 Å
α = 60.00°, β = 60.00°, γ = 60.00°
Positions (direct):
Cu 0.250 0.250 0.250
Gd 0.500 0.500 0.500
Sn 0.750 0.750 0.750
Mg 0.000 0.000 0.000

Computed properties:
As for the space group: F-43m (216). For the formation energy from the elements, the calculation gives -1.28 eV per formula unit.



# 3
## KZnNi2 (PBE)

Data for KZnNi2 after structural relaxation.

a = 4.310 Å, b = 4.310 Å, c = 6.922 Å
α = 84.49°, β = 84.49°, γ = 37.47°
Positions (direct):
Ni 0.750 0.750 0.778
Ni 0.020 0.020 0.885
Zn 0.478 0.478 0.606
K 0.253 0.253 0.231

Computed properties:
As for the space group: Cm (8). For the formation energy from the elements, the calculation gives 1.34 eV per formula unit.



# 4
## Zr4CdP6O24 (PBE)

Data for Zr4CdP6O24 after structural relaxation.

a = 9.125 Å, b = 9.125 Å, c = 9.125 Å
α = 59.02°, β = 59.02°, γ = 59.02°
Positions (direct):
O 0.509 0.687 0.893
O 0.420 0.769 0.554
P 0.529 0.257 0.953
Zr 0.352 0.352 0.352
O 0.010 0.632 0.783
O 0.294 0.906 0.061
O 0.893 0.509 0.687
P 0.743 0.047 0.471
P 0.257 0.953 0.529
O 0.783 0.010 0.632
Zr 0.864 0.864 0.864
O 0.769 0.554 0.420
O 0.094 0.939 0.706
P 0.047 0.471 0.743
O 0.990 0.368 0.217
O 0.906 0.061 0.294
Zr 0.136 0.136 0.136
O 0.217 0.990 0.368
Zr 0.648 0.648 0.648
P 0.953 0.529 0.257
O 0.313 0.107 0.491
O 0.368 0.217 0.990
P 0.471 0.743 0.047
O 0.687 0.893 0.509
O 0.107 0.491 0.313
O 0.491 0.313 0.107
O 0.706 0.094 0.939
Cd 0.500 0.500 0.500
O 0.580 0.231 0.446
O 0.939 0.706 0.094
O 0.446 0.580 0.231
O 0.231 0.446 0.580
O 0.061 0.294 0.906
O 0.632 0.783 0.010
O 0.554 0.420 0.769

Computed properties:
As for the space group: R-3 (148). For the raw formation energy, the calculation gives -2.63 eV/atom.



# 5
## FeReMo2 (PBE)

Data for FeReMo2 after structural relaxation.

a = 3.168 Å, b = 4.295 Å, c = 4.315 Å
α = 90.00°, β = 90.00°, γ = 90.00°
Positions (direct):
Re 0.500 0.000 0.500
Mo 0.000 0.000 0.000
Fe 0.000 0.500 0.500
Mo 0.500 0.500 0.000

Computed properties:
As for the space group: Pmmm (47). For the formation energy from the elements, the calculation gives 0.45 eV per formula unit.



# 6
## Gd4Ga2C (PBE)

Data for Gd4Ga2C after structural relaxation.

a = 4.941 Å, b = 4.941 Å, c = 7.993 Å
α = 72.00°, β = 72.00°, γ = 90.00°
Positions (direct):
Ga 0.624 0.624 0.752
Gd 0.828 0.828 0.343
Ga 0.376 0.376 0.248
Gd 0.172 0.172 0.657
Gd 0.500 0.000 0.000
Gd 0.000 0.500 0.000
C 0.000 0.000 0.000

Computed properties:
As for the space group: I4/mmm (139). For the formation energy from the elements, the calculation gives -2.80 eV per formula unit.



Quick rundown of spin magnetization, same order as above: 0.0 7.0 0.7 0.0 2.5 28.2 μB per formula unit